{"formula": "Pm2MnPdO6", "functional": "GGA+U", "state": "optimized geometry", "m_tot_mub_per_atom": 0.500, "final_energy_ev_per_atom": -7.413, "lattice": [[5.490, 0.000, -0.034], [0.000, 5.827, 0.000], [0.003, 0.000, 7.905]], "species": ["Pm", "Pm", "Pm", "Pm", "O", "O", "O", "O", "O", "O", "O", "O", "O", "O", "O", "O", "Pd", "Pd", "Mn", "Mn"], "fractional_positions": [[0.480, 0.431, 0.249], [0.520, 0.569, 0.751], [0.980, 0.069, 0.749], [0.020, 0.931, 0.251], [0.390, 0.961, 0.747], [0.610, 0.039, 0.253], [0.803, 0.804, 0.556], [0.191, 0.201, 0.057], [0.303, 0.696, 0.056], [0.197, 0.196, 0.444], [0.691, 0.299, 0.557], [0.809, 0.799, 0.943], [0.697, 0.304, 0.944], [0.309, 0.701, 0.443], [0.110, 0.461, 0.753], [0.890, 0.539, 0.247], [0.000, 0.500, 0.000], [0.500, 0.000, 0.500], [0.000, 0.500, 0.500], [0.500, 0.000, 0.000]]}